(1)
A relaxed structure of KYNF2, computed with GGA-PBE.

Results
Space-group type   P4/mmm (123)
Formation energy (no corrections)   -428 kJ/mol of formula units
V   91.6 Å³/cell
Relative energy among the computed polymorphs   1294.3 meV per atom
Energy   -24.06 eV for the cell shown

a b c (Å): 4.351 4.837 4.351
angles (deg): 90.00 90.00 90.00
Atoms (fractional coordinates):
N 0.000 0.500 0.000
F 0.000 0.000 0.500
K 0.000 0.000 0.000
Y 0.500 0.500 0.500
F 0.500 0.000 0.000


(2)
A relaxed structure of KYN2F, computed with GGA-PBE.

Results
Space-group type   P4/mmm (123)
Formation energy (no corrections)   269 kJ/mol of formula units
V   78.8 Å³/cell
Relative energy among the computed polymorphs   1229.7 meV per atom
Energy   -23.30 eV for the cell shown

a b c (Å): 4.262 4.262 4.339
angles (deg): 90.00 90.00 90.00
Atoms (fractional coordinates):
N 0.500 0.000 0.000
K 0.000 0.000 0.000
F 0.000 0.000 0.500
N 0.000 0.500 0.000
Y 0.500 0.500 0.500


(3)
A relaxed structure of KYN2F, computed with GGA-PBE.

Results
Space-group type   P4/mmm (123)
Formation energy (no corrections)   -324 kJ/mol of formula units
V   99.4 Å³/cell
Relative energy among the computed polymorphs   0.0 meV per atom
Energy   -29.45 eV for the cell shown

a b c (Å): 4.717 4.717 4.466
angles (deg): 90.00 90.00 90.00
Atoms (fractional coordinates):
N 0.000 0.500 0.000
F 0.000 0.000 0.500
K 0.500 0.500 0.500
Y 0.000 0.000 0.000
N 0.500 0.000 0.000


(4)
A relaxed structure of KYNF2, computed with GGA-PBE.

Results
Space-group type   P4/mmm (123)
Formation energy (no corrections)   -1052 kJ/mol of formula units
V   91.2 Å³/cell
Relative energy among the computed polymorphs   0.0 meV per atom
Energy   -30.54 eV for the cell shown

a b c (Å): 4.522 4.522 4.460
angles (deg): 90.00 90.00 90.00
Atoms (fractional coordinates):
Y 0.000 0.000 0.000
K 0.500 0.500 0.500
N 0.000 0.000 0.500
F 0.000 0.500 0.000
F 0.500 0.000 0.000


(5)
A relaxed structure of KZrN2F, computed with GGA-PBE.

Results
Space-group type   P4/mmm (123)
Formation energy (no corrections)   524 kJ/mol of formula units
V   73.7 Å³/cell
Relative energy among the computed polymorphs   2077.9 meV per atom
Energy   -22.74 eV for the cell shown

a b c (Å): 4.225 4.225 4.132
angles (deg): 90.00 90.00 90.00
Atoms (fractional coordinates):
N 0.000 0.500 0.000
F 0.000 0.000 0.500
Zr 0.500 0.500 0.500
K 0.000 0.000 0.000
N 0.500 0.000 0.000


(6)
A relaxed structure of KZrN2F, computed with GGA-PBE.

Results
Space-group type   P4/mmm (123)
Formation energy (no corrections)   -478 kJ/mol of formula units
V   80.1 Å³/cell
Relative energy among the computed polymorphs   0.0 meV per atom
Energy   -33.13 eV for the cell shown

a b c (Å): 4.227 4.227 4.484
angles (deg): 90.00 90.00 90.00
Atoms (fractional coordinates):
N 0.000 0.500 0.000
K 0.500 0.500 0.500
N 0.500 0.000 0.000
Zr 0.000 0.000 0.000
F 0.000 0.000 0.500


(7)
A relaxed structure of KZrNF2, computed with GGA-PBE.

Results
Space-group type   P4/mmm (123)
Formation energy (no corrections)   -75 kJ/mol of formula units
V   89.0 Å³/cell
Relative energy among the computed polymorphs   2053.2 meV per atom
Energy   -22.49 eV for the cell shown

a b c (Å): 4.284 4.284 4.851
angles (deg): 90.00 90.00 90.00
Atoms (fractional coordinates):
Zr 0.500 0.500 0.500
F 0.000 0.500 0.000
F 0.500 0.000 0.000
K 0.000 0.000 0.000
N 0.000 0.000 0.500


(8)
A relaxed structure of KZrNF2, computed with GGA-PBE.

Results
Space-group type   P4/mmm (123)
Formation energy (no corrections)   -1065 kJ/mol of formula units
V   80.9 Å³/cell
Relative energy among the computed polymorphs   0.0 meV per atom
Energy   -32.75 eV for the cell shown

a b c (Å): 4.398 4.398 4.184
angles (deg): 90.00 90.00 90.00
Atoms (fractional coordinates):
F 0.000 0.500 0.000
N 0.000 0.000 0.500
Zr 0.000 0.000 0.000
F 0.500 0.000 0.000
K 0.500 0.500 0.500


(9)
A relaxed structure of K4NaF5, computed with GGA-PBE.

Results
Space-group type   R-3m (166)
Formation energy (no corrections)   -2612 kJ/mol of formula units
V   183.1 Å³/cell
Relative energy among the computed polymorphs   0.0 meV per atom
Energy   -42.13 eV for the cell shown

a b c (Å): 3.721 3.721 15.423
angles (deg): 83.07 83.07 60.00
Atoms (fractional coordinates):
K 0.298 0.298 0.105
F 0.597 0.597 0.210
K 0.105 0.105 0.686
F 0.000 0.000 0.000
Na 0.500 0.500 0.500
K 0.702 0.702 0.895
F 0.403 0.403 0.790
F 0.194 0.194 0.419
F 0.806 0.806 0.581
K 0.895 0.895 0.314


(10)
A relaxed structure of K2NaF3, computed with GGA-PBE.

Results
Space-group type   I4/mmm (139)
Formation energy (no corrections)   -1552 kJ/mol of formula units
V   106.7 Å³/cell
Relative energy among the computed polymorphs   10.0 meV per atom
Energy   -25.22 eV for the cell shown

a b c (Å): 8.155 8.155 8.155
angles (deg): 153.66 153.66 37.60
Atoms (fractional coordinates):
Na 0.000 0.000 0.000
K 0.665 0.665 0.000
K 0.335 0.335 0.000
F 0.500 0.500 0.000
F 0.155 0.155 0.000
F 0.845 0.845 0.000


(11)
A relaxed structure of K5NaF6, computed with GGA-PBE.

Results
Space-group type   C2/m (12)
Formation energy (no corrections)   -3134 kJ/mol of formula units
V   224.1 Å³/cell
Energy   -50.52 eV for the cell shown

a b c (Å): 6.491 6.501 6.504
angles (deg): 60.01 80.39 70.48
Atoms (fractional coordinates):
F 0.759 0.081 0.315
F 0.241 0.604 0.315
F 0.764 0.767 0.000
Na 0.000 0.000 0.000
F 0.236 0.233 0.000
K 0.500 0.166 0.668
F 0.241 0.919 0.685
K 0.000 0.667 0.666
F 0.759 0.396 0.685
K 0.500 0.834 0.332
K 0.500 0.500 0.000
K 0.000 0.333 0.334


(12)
A relaxed structure of KNa2F, computed with GGA-PBE.

Results
Space-group type   R-3m (166)
Formation energy (no corrections)   -448 kJ/mol of formula units
V   123.0 Å³/cell
Relative energy among the computed polymorphs   57.0 meV per atom
Energy   -10.25 eV for the cell shown

a b c (Å): 3.725 3.725 10.455
angles (deg): 79.74 79.74 60.00
Atoms (fractional coordinates):
Na 0.125 0.125 0.625
F 0.500 0.500 0.500
Na 0.875 0.875 0.375
K 0.000 0.000 0.000


Sequential total magnetization output: 1.000, 0.513, 3.001, 1.012, 0.000, 0.386, 0.000, 0.000, 0.364, 0.184, 0.458, 0.000 μB/f.u.